# BeNiI2F, relaxed, DFT PBE+U
data_BeNiI2F
_chemical_formula_sum 'Be1 Ni1 I2 F1'
_symmetry_space_group_name_H-M 'P 4/m m m'
_symmetry_Int_Tables_number 123
_symmetry_space_group_name_Hall '-P 4 2'
_cell_length_a 5.3683
_cell_length_b 5.3683
_cell_length_c 3.7581
_cell_angle_alpha 90.00
_cell_angle_beta 90.00
_cell_angle_gamma 90.00
loop_
_atom_site_label
_atom_site_type_symbol
_atom_site_fract_x
_atom_site_fract_y
_atom_site_fract_z
_atom_site_occupancy
Be1 Be 0.0000 0.0000 0.0000 1
Ni1 Ni 0.5000 0.5000 0.5000 1
I1 I 0.0000 0.5000 0.5000 1
F1 F 0.5000 0.5000 0.0000 1
# Total magnetization ... 0.00 μB per cell
# VASP energy ... -2.124 eV per atom